! GGA+U Li4Fe3O2F6, relaxed; values from VASP
! Total DFT energy (no corrections), eV per cell: -81.19
! Magnetization, μB per formula unit: 12.00
&SYSTEM
  ibrav = 0, nat = 15, ntyp = 4
/
ATOMIC_SPECIES
Li 6.94 Li.upf
Fe 55.84 Fe.upf
O 16.00 O.upf
F 19.00 F.upf
ATOMIC_POSITIONS crystal
Li 0.2173 0.4846 0.3481
Li 0.2685 0.5200 0.8754
Li 0.7315 0.4800 0.1246
Li 0.7827 0.5154 0.6519
Fe 0.0000 0.0000 0.0000
Fe 0.4940 0.9799 0.2421
Fe 0.5060 0.0201 0.7579
O 0.3521 0.7693 0.0698
O 0.6479 0.2307 0.9302
F 0.1236 0.2688 0.1667
F 0.1433 0.3028 0.6838
F 0.4221 0.7572 0.5934
F 0.5779 0.2428 0.4066
F 0.8567 0.6972 0.3162
F 0.8764 0.7312 0.8333
CELL_PARAMETERS angstrom
5.2723 0.0000 0.0000
0.9932 5.2543 0.0000
0.2923 1.9545 5.8116